1.
! MnTl2Te (PBE-GGA, optimized geometry); values from VASP
! * symmetry: Pm (6)
! * E_form (uncorrected): 0.1016 eV per atom
! * magnetization: 4.2 μB/cell
! * distance to the lowest polymorph of the same formula: 23 meV per atom
&SYSTEM
  ibrav = 0, nat = 4, ntyp = 3
/
ATOMIC_SPECIES
Mn 54.94 Mn.upf
Tl 204.38 Tl.upf
Te 127.60 Te.upf
ATOMIC_POSITIONS crystal
Mn 0.000 0.000 0.000
Tl 0.235 0.000 0.466
Tl 0.564 0.500 0.129
Te 0.857 0.500 0.713
CELL_PARAMETERS angstrom
4.270 0.000 0.000
0.000 4.055 0.000
-2.119 0.000 6.493

***

2.
! Hg3PdS (PBE-GGA, optimized geometry); values from VASP
! * symmetry: Pm-3m (221)
! * E_form (uncorrected): 0.3711 eV per atom
! * magnetization: 1.2 μB/cell
&SYSTEM
  ibrav = 0, nat = 5, ntyp = 3
/
ATOMIC_SPECIES
Hg 200.59 Hg.upf
Pd 106.42 Pd.upf
S 32.06 S.upf
ATOMIC_POSITIONS crystal
Hg 0.000 0.000 0.500
Hg 0.000 0.500 0.000
Hg 0.500 0.000 0.000
Pd 0.000 0.000 0.000
S 0.500 0.500 0.500
CELL_PARAMETERS angstrom
5.243 0.000 0.000
0.000 5.243 0.000
0.000 0.000 5.243

***

3.
! MgTc2Ir2 (PBE-GGA, optimized geometry); values from VASP
! * symmetry: P4/mbm (127)
! * magnetization: 0.0 μB/cell
! * distance to the lowest polymorph of the same formula: 0 meV per atom
! * calculated formation energy: -0.16 eV per formula unit
&SYSTEM
  ibrav = 0, nat = 10, ntyp = 3
/
ATOMIC_SPECIES
Mg 24.30 Mg.upf
Tc 98.00 Tc.upf
Ir 192.22 Ir.upf
ATOMIC_POSITIONS crystal
Mg 0.000 0.000 0.000
Mg 0.500 0.500 0.000
Tc 0.120 0.380 0.000
Tc 0.380 0.880 0.000
Tc 0.620 0.120 0.000
Tc 0.880 0.620 0.000
Ir 0.171 0.671 0.500
Ir 0.329 0.171 0.500
Ir 0.671 0.829 0.500
Ir 0.829 0.329 0.500
CELL_PARAMETERS angstrom
7.640 0.000 0.000
0.000 7.640 0.000
0.000 0.000 2.753